LiPrAl2 | PBE | optimized geometry

The structure in POSCAR format:
```
LiPrAl2
1.0
4.3652 0.0000 0.0000
0.0000 4.3652 0.0000
0.0000 0.0000 4.6416
Li Pr Al
1 1 2
direct
0.0000 0.0000 0.0000
0.5000 0.5000 0.0000
0.0000 0.5000 0.5000
0.5000 0.0000 0.5000
```

Properties
The value obtained for the total energy is -3.727 eV per atom. The calculation puts the energy of formation from the pure elements at -183 meV per atom. For the total moment, the calculation gives 0.00 μB per cell. For the energy relative to the lowest polymorph listed for this composition, the calculation gives 0.071 eV per atom. Its mass density is 3.79 g/cm3.

LiPr2Al12Pt3 | PBE | optimized geometry

The structure in POSCAR format:
```
LiPr2Al12Pt3
1.0
4.5053 2.6011 5.9030
-4.5053 2.6011 5.9030
0.0000 -5.2023 5.9030
Li Pr Al Pt
1 2 12 3
direct
0.0000 0.0000 0.0000
0.4025 0.4025 0.4025
0.5975 0.5975 0.5975
0.1362 0.1362 0.6409
0.1362 0.6409 0.1362
0.1465 0.7314 0.7314
0.2686 0.2686 0.8535
0.2686 0.8535 0.2686
0.3591 0.8638 0.8638
0.6409 0.1362 0.1362
0.7314 0.1465 0.7314
0.7314 0.7314 0.1465
0.8535 0.2686 0.2686
0.8638 0.3591 0.8638
0.8638 0.8638 0.3591
0.0000 0.0000 0.5000
0.0000 0.5000 0.0000
0.5000 0.0000 0.0000
```

Properties
The value obtained for the total energy is -4.300 eV per atom. The calculation puts the energy of formation from the pure elements at -161 meV per atom. For the total moment, the calculation gives 0.00 μB per cell. Its mass density is 4.79 g/cm3.

LiPrAlPt2 | PBE | optimized geometry

The structure in POSCAR format:
```
LiPrAlPt2
1.0
3.9767 0.0000 0.0000
0.0000 3.9767 0.0000
0.0000 0.0000 12.0768
Li Pr Al Pt
2 2 2 4
direct
0.0000 0.0000 0.0000
0.5000 0.5000 0.5000
0.0000 0.5000 0.2500
0.5000 0.0000 0.7500
0.0000 0.0000 0.5000
0.5000 0.5000 0.0000
0.0000 0.5000 0.6336
0.0000 0.5000 0.8664
0.5000 0.0000 0.1336
0.5000 0.0000 0.3664
```

Properties
The value obtained for the total energy is -5.458 eV per atom. The calculation puts the energy of formation from the pure elements at -954 meV per atom. For the total moment, the calculation gives 0.00 μB per cell. Its mass density is 9.83 g/cm3.

LiPr2AlPt2 | PBE | optimized geometry

The structure in POSCAR format:
```
LiPr2AlPt2
1.0
-2.9502 7.3796 3.0026
2.9502 -7.3796 3.0026
2.9502 7.3796 -3.0026
Li Pr Al Pt
2 4 2 4
direct
0.2500 0.2500 0.0000
0.7500 0.7500 0.0000
0.1687 0.2227 0.3914
0.3313 0.7227 0.0540
0.6687 0.2773 0.9460
0.8313 0.7773 0.6086
0.2500 0.7500 0.5000
0.7500 0.2500 0.5000
0.1164 0.7227 0.8391
0.3836 0.2227 0.6063
0.6164 0.7773 0.3937
0.8836 0.2773 0.1609
```

Properties
The value obtained for the total energy is -5.431 eV per atom. The calculation puts the energy of formation from the pure elements at -881 meV per atom. For the total moment, the calculation gives 0.00 μB per cell. Its mass density is 8.97 g/cm3.

Li2Pr2AlPt5 | PBE | optimized geometry

The structure in POSCAR format:
```
Li2Pr2AlPt5
1.0
9.5656 0.0000 0.0000
0.0000 9.5656 0.0000
0.0000 0.0000 3.7776
Li Pr Al Pt
4 4 2 10
direct
0.1205 0.3795 0.0000
0.3795 0.8795 0.0000
0.6205 0.1205 0.0000
0.8795 0.6205 0.0000
0.1791 0.6791 0.0000
0.3209 0.1791 0.0000
0.6791 0.8209 0.0000
0.8209 0.3209 0.0000
0.0000 0.0000 0.0000
0.5000 0.5000 0.0000
0.0000 0.5000 0.5000
0.0626 0.2052 0.5000
0.2052 0.9374 0.5000
0.2948 0.4374 0.5000
0.4374 0.7052 0.5000
0.5000 0.0000 0.5000
0.5626 0.2948 0.5000
0.7052 0.5626 0.5000
0.7948 0.0626 0.5000
0.9374 0.7948 0.5000
```

Properties
The value obtained for the total energy is -5.595 eV per atom. The calculation puts the energy of formation from the pure elements at -862 meV per atom. For the total moment, the calculation gives 0.00 μB per cell. Its mass density is 12.47 g/cm3.

LiPr2AlPt6 | PBE | optimized geometry

The structure in POSCAR format:
```
LiPr2AlPt6
1.0
4.9044 -2.8284 0.0000
4.9044 2.8284 0.0000
-3.2799 0.0000 7.4813
Li Pr Al Pt
1 2 1 6
direct
0.0000 0.0000 0.0000
0.2945 0.2945 0.8838
0.7055 0.7055 0.1162
0.5000 0.5000 0.5000
0.2367 0.7521 0.7412
0.2479 0.2479 0.2586
0.2479 0.7633 0.2588
0.7521 0.2367 0.7412
0.7521 0.7521 0.7414
0.7633 0.2479 0.2588
```

Properties
The value obtained for the total energy is -5.943 eV per atom. The calculation puts the energy of formation from the pure elements at -797 meV per atom. For the total moment, the calculation gives 0.00 μB per cell. Its mass density is 11.89 g/cm3.

LiPr2Al3Pt4 | PBE | optimized geometry

The structure in POSCAR format:
```
LiPr2Al3Pt4
1.0
4.2965 0.0000 0.0000
0.0000 4.2965 0.0000
0.0000 0.0000 10.4517
Li Pr Al Pt
1 2 3 4
direct
0.0000 0.0000 0.0000
0.0000 0.5000 0.7487
0.5000 0.0000 0.2513
0.0000 0.5000 0.3753
0.5000 0.0000 0.6247
0.5000 0.5000 0.0000
0.0000 0.0000 0.5000
0.0000 0.5000 0.1352
0.5000 0.0000 0.8648
0.5000 0.5000 0.5000
```

Properties
The value obtained for the total energy is -5.708 eV per atom. The calculation puts the energy of formation from the pure elements at -1022 meV per atom. For the total moment, the calculation gives 0.00 μB per cell. Its mass density is 9.90 g/cm3.

LiPrPuAl | PBE | optimized geometry

The structure in POSCAR format:
```
LiPrPuAl
1.0
7.4210 0.0000 0.0000
0.0000 7.4210 0.0000
0.0000 0.0000 7.4210
Li Pr Pu Al
4 4 4 4
direct
0.0000 0.0000 0.0000
0.0000 0.5000 0.5000
0.5000 0.0000 0.5000
0.5000 0.5000 0.0000
0.2500 0.2500 0.7500
0.2500 0.7500 0.2500
0.7500 0.2500 0.2500
0.7500 0.7500 0.7500
0.2500 0.2500 0.2500
0.2500 0.7500 0.7500
0.7500 0.2500 0.7500
0.7500 0.7500 0.2500
0.0000 0.0000 0.5000
0.0000 0.5000 0.0000
0.5000 0.0000 0.0000
0.5000 0.5000 0.5000
```

Properties
The value obtained for the total energy is -6.164 eV per atom. The calculation puts the energy of formation from the pure elements at 28 meV per atom. For the total moment, the calculation gives 25.76 μB per cell. Its mass density is 6.81 g/cm3.

LiPr2Al2Rh5 | PBE | optimized geometry

The structure in POSCAR format:
```
LiPr2Al2Rh5
1.0
10.0639 0.0000 0.0000
0.0000 10.0639 0.0000
0.0000 0.0000 3.5015
Li Pr Al Rh
2 4 4 10
direct
0.0000 0.0000 0.0000
0.5000 0.5000 0.0000
0.1767 0.3233 0.0000
0.3233 0.8233 0.0000
0.6767 0.1767 0.0000
0.8233 0.6767 0.0000
0.1225 0.6225 0.0000
0.3775 0.1225 0.0000
0.6225 0.8775 0.0000
0.8775 0.3775 0.0000
0.0000 0.5000 0.5000
0.0642 0.7912 0.5000
0.2088 0.0642 0.5000
0.2912 0.5642 0.5000
0.4358 0.2912 0.5000
0.5000 0.0000 0.5000
0.5642 0.7088 0.5000
0.7088 0.4358 0.5000
0.7912 0.9358 0.5000
0.9358 0.2088 0.5000
```

Properties
The value obtained for the total energy is -6.181 eV per atom. The calculation puts the energy of formation from the pure elements at -610 meV per atom. For the total moment, the calculation gives 0.00 μB per cell. Its mass density is 8.03 g/cm3.

LiPrAlRh | PBE | optimized geometry

The structure in POSCAR format:
```
LiPrAlRh
1.0
6.7190 0.0000 0.0000
0.0000 6.7190 0.0000
0.0000 0.0000 6.7190
Li Pr Al Rh
4 4 4 4
direct
0.0000 0.0000 0.0000
0.0000 0.5000 0.5000
0.5000 0.0000 0.5000
0.5000 0.5000 0.0000
0.2500 0.2500 0.7500
0.2500 0.7500 0.2500
0.7500 0.2500 0.2500
0.7500 0.7500 0.7500
0.2500 0.2500 0.2500
0.2500 0.7500 0.7500
0.7500 0.2500 0.7500
0.7500 0.7500 0.2500
0.0000 0.0000 0.5000
0.0000 0.5000 0.0000
0.5000 0.0000 0.0000
0.5000 0.5000 0.5000
```

Properties
The value obtained for the total energy is -4.887 eV per atom. The calculation puts the energy of formation from the pure elements at -441 meV per atom. For the total moment, the calculation gives 0.00 μB per cell. Its mass density is 6.08 g/cm3.

LiPrAlRu | PBE | optimized geometry

The structure in POSCAR format:
```
LiPrAlRu
1.0
6.6907 0.0000 0.0000
0.0000 6.6907 0.0000
0.0000 0.0000 6.6907
Li Pr Al Ru
4 4 4 4
direct
0.0000 0.0000 0.0000
0.0000 0.5000 0.5000
0.5000 0.0000 0.5000
0.5000 0.5000 0.0000
0.2500 0.2500 0.2500
0.2500 0.7500 0.7500
0.7500 0.2500 0.7500
0.7500 0.7500 0.2500
0.2500 0.2500 0.7500
0.2500 0.7500 0.2500
0.7500 0.2500 0.2500
0.7500 0.7500 0.7500
0.0000 0.0000 0.5000
0.0000 0.5000 0.0000
0.5000 0.0000 0.0000
0.5000 0.5000 0.5000
```

Properties
The value obtained for the total energy is -5.111 eV per atom. The calculation puts the energy of formation from the pure elements at -184 meV per atom. For the total moment, the calculation gives 0.00 μB per cell. Its mass density is 6.12 g/cm3.

Li2PrAlS4 | PBE | optimized geometry

The structure in POSCAR format:
```
Li2PrAlS4
1.0
-3.6644 4.0124 5.3386
3.6644 -4.0124 5.3386
3.6644 4.0124 -5.3386
Li Pr Al S
4 2 2 8
direct
0.0000 0.0000 0.0000
0.5000 0.0000 0.0000
0.5000 0.0000 0.5000
0.5000 0.5000 0.5000
0.0000 0.5000 0.5000
0.5000 0.5000 0.0000
0.0000 0.0000 0.5000
0.0000 0.5000 0.0000
0.1957 0.2385 0.9573
0.2188 0.7615 0.4573
0.2477 0.2325 0.4848
0.2477 0.7628 0.0152
0.7523 0.2372 0.9848
0.7523 0.7675 0.5152
0.7812 0.2385 0.5427
0.8043 0.7615 0.0427
```

Properties
The value obtained for the total energy is -5.000 eV per atom. For the total moment, the calculation gives 0.00 μB per cell. The value obtained for the energy relative to the elements, uncorrected is -1393 meV per atom. Its mass density is 3.28 g/cm3.

Question: What is the formula in the ninth record?
Answer: LiPr2Al2Rh5